VASP calculation (GGA-PBE) on an optimized crystal structure of KErPuI6.

Uncorrected formation energy = -1.282 eV per atom
Space group = P-31c (163)

Geometry as POSCAR:
```
KErPuI6
1.0
7.9697 0.0000 0.0000
-3.9848 6.9019 0.0000
0.0000 0.0000 15.7397
K Er Pu I
2 2 2 12
direct
0.0000 0.0000 0.0000
0.0000 0.0000 0.5000
0.3333 0.6667 0.2500
0.6667 0.3333 0.7500
0.3333 0.6667 0.7500
0.6667 0.3333 0.2500
0.0165 0.3702 0.1362
0.0165 0.6463 0.3638
0.3537 0.3702 0.3638
0.3537 0.9835 0.1362
0.3702 0.0165 0.6362
0.3702 0.3537 0.8638
0.6298 0.6463 0.1362
0.6298 0.9835 0.3638
0.6463 0.0165 0.8638
0.6463 0.6298 0.6362
0.9835 0.3537 0.6362
0.9835 0.6298 0.8638
```

=====

VASP calculation (GGA-PBE) on an optimized crystal structure of PrY2MgHg4.

Space group = R-3m (166)
E_form = -0.45 eV per atom

Geometry as POSCAR:
```
PrY2MgHg4
1.0
2.5730 1.4855 8.9569
-2.5730 1.4855 8.9569
0.0000 -2.9710 8.9569
Pr Y Mg Hg
1 2 1 4
direct
0.0000 0.0000 0.0000
0.2421 0.2421 0.2421
0.7579 0.7579 0.7579
0.5000 0.5000 0.5000
0.1263 0.1263 0.1263
0.3811 0.3811 0.3811
0.6189 0.6189 0.6189
0.8737 0.8737 0.8737
```

=====

VASP calculation (GGA-PBE) on an optimized crystal structure of LaZrBiRu2.

Space group = P4/mmm (123)
E_form = 0.53 eV per atom

Geometry as POSCAR:
```
LaZrBiRu2
1.0
4.8589 0.0000 0.0000
0.0000 4.8589 0.0000
0.0000 0.0000 5.6171
La Zr Bi Ru
1 1 1 2
direct
0.0000 0.0000 0.0000
0.5000 0.5000 0.5000
0.5000 0.5000 0.0000
0.0000 0.5000 0.5000
0.5000 0.0000 0.5000
```

=====

VASP calculation (GGA-PBE) on an optimized crystal structure of Dy5Ho2.

ΔE to the lowest computed polymorph = 0.013 eV/atom
Space group = P-1 (2)
E_form = 0.02 eV per atom

Geometry as POSCAR:
```
Dy5Ho2
1.0
3.5232 0.0000 0.0000
1.7609 7.6989 0.0000
0.0292 3.2436 8.0121
Dy Ho
5 2
direct
0.0000 0.0000 0.0000
0.1429 0.7142 0.4285
0.4281 0.1433 0.2854
0.5719 0.8567 0.7146
0.8571 0.2858 0.5715
0.2858 0.4286 0.8573
0.7142 0.5714 0.1427
```

=====

VASP calculation (GGA-PBE) on an optimized crystal structure of ScZn5Ag4.

Space group = P4/mmm (123)
E_form = -0.10 eV per atom

Geometry as POSCAR:
```
ScZn5Ag4
1.0
3.1654 0.0000 0.0000
0.0000 3.1654 0.0000
0.0000 0.0000 16.6408
Sc Zn Ag
1 5 4
direct
0.0000 0.0000 0.0000
0.5000 0.5000 0.1125
0.5000 0.5000 0.3058
0.5000 0.5000 0.5000
0.5000 0.5000 0.6942
0.5000 0.5000 0.8875
0.0000 0.0000 0.2088
0.0000 0.0000 0.4031
0.0000 0.0000 0.5969
0.0000 0.0000 0.7912
```

=====

VASP calculation (GGA-PBE) on an optimized crystal structure of EuMgNi.

Space group = P2_13 (198)
E_form = -0.05 eV per atom

Geometry as POSCAR:
```
EuMgNi
1.0
6.6404 0.0000 0.0000
0.0000 6.6404 0.0000
0.0000 0.0000 6.6404
Eu Mg Ni
4 4 4
direct
0.1686 0.3314 0.6686
0.3314 0.6686 0.1686
0.6686 0.1686 0.3314
0.8314 0.8314 0.8314
0.1610 0.1610 0.1610
0.3390 0.8390 0.6610
0.6610 0.3390 0.8390
0.8390 0.6610 0.3390
0.0401 0.9599 0.4599
0.4599 0.0401 0.9599
0.5401 0.5401 0.5401
0.9599 0.4599 0.0401
```

=====

VASP calculation (GGA-PBE) on an optimized crystal structure of RbPSeN2.

ΔE to the lowest computed polymorph = 1.504 eV/atom
Uncorrected formation energy = 2.651 eV per atom
Space group = P4/mmm (123)

Geometry as POSCAR:
```
RbPSeN2
1.0
4.9589 0.0000 0.0000
0.0000 4.9589 0.0000
0.0000 0.0000 6.7556
Rb P Se N
1 1 1 2
direct
0.0000 0.0000 0.0000
0.5000 0.5000 0.5000
0.0000 0.0000 0.5000
0.0000 0.5000 0.0000
0.5000 0.0000 0.0000
```

=====

VASP calculation (GGA-PBE) on an optimized crystal structure of Rb2NaInSi.

Uncorrected formation energy = 0.532 eV per atom
Space group = P4/mmm (123)

Geometry as POSCAR:
```
Rb2NaInSi
1.0
6.4702 0.0000 0.0000
0.0000 6.4702 0.0000
0.0000 0.0000 5.3100
Rb Na In Si
2 1 1 1
direct
0.0000 0.5000 0.0000
0.5000 0.0000 0.0000
0.0000 0.0000 0.0000
0.5000 0.5000 0.5000
0.0000 0.0000 0.5000
```

=====

Number 1: total moment 12.000 μB per cell. Number 2: total moment 0.000 μB per cell. Number 3: total moment 0.000 μB per cell. Number 4: total moment 0.000 μB per cell. Number 5: total moment 0.201 μB per cell. Number 6: total moment 28.359 μB per cell. Number 7: total moment 5.509 μB per cell. Number 8: total moment 0.702 μB per cell.